DFT (PBEsol) results for crystalline Sc3SnB at its relaxed geometry.

Properties
V (Å³/cell): 97.61
Formation energy (meV/atom): -638

Cell lengths 4.604, 4.604, 4.604 Å; angles 90.00, 90.00, 90.00 degrees
Sites, in units of the cell vectors:
Sc1 0.000 0.500 0.000
Sn1 0.500 0.500 0.500
Sc2 0.000 0.000 0.500
B1 0.000 0.000 0.000
Sc3 0.500 0.000 0.000

=====

DFT (PBEsol) results for crystalline MnNiAg at its relaxed geometry.

Properties
V (Å³/cell): 40.24
Relative energy among the computed polymorphs (meV/atom): 0
Formation energy (meV/atom): 211

Cell lengths 2.954, 2.954, 5.061 Å; angles 106.97, 106.97, 90.00 degrees
Each line ends with the local moment (μB).
Sites, in units of the cell vectors:
Ag1 0.997 0.997 0.995  0.01
Ni1 0.317 0.317 0.634  0.59
Mn1 0.686 0.686 0.371  3.41

=====

DFT (PBEsol) results for crystalline K3CoSn at its relaxed geometry.

Properties
V (Å³/cell): 213.89
Formation energy (meV/atom): 893

Cell lengths 5.980, 5.980, 5.980 Å; angles 90.00, 90.00, 90.00 degrees
Each line ends with the local moment (μB).
Sites, in units of the cell vectors:
K1 0.000 0.500 0.000  0.01
K2 0.500 0.000 0.000  0.01
K3 0.000 0.000 0.500  0.01
Sn1 0.500 0.500 0.500  0.64
Co1 0.000 0.000 0.000  1.87

=====

DFT (PBEsol) results for crystalline BMo2H at its relaxed geometry.

Properties
V (Å³/cell): 39.74
VASP energy (eV/atom): -8.140

Cell lengths 3.830, 3.830, 3.830 Å; angles 60.00, 60.00, 60.00 degrees
Sites, in units of the cell vectors:
H1 0.000 0.000 0.000
B1 0.500 0.500 0.500
Mo1 0.750 0.750 0.750
Mo2 0.250 0.250 0.250

=====

DFT (PBEsol) results for crystalline ZnSBrN2 at its relaxed geometry.

Properties
V (Å³/cell): 81.67
E_form (uncorrected) (kJ/mol of atoms): 148.7

Cell lengths 3.850, 3.850, 5.510 Å; angles 90.00, 90.00, 90.00 degrees
Each line ends with the local moment (μB).
Sites, in units of the cell vectors:
S1 0.000 0.000 0.500  0.15
Zn1 0.000 0.000 0.000  0.09
N1 0.000 0.500 0.000  1.22
N2 0.500 0.000 0.000  1.22
Br1 0.500 0.500 0.500  0.09

=====

DFT (PBEsol) results for crystalline TlHI2 at its relaxed geometry.

Properties
V (Å³/cell): 111.96
Relative energy among the computed polymorphs (meV/atom): 360

Cell lengths 5.410, 5.410, 5.410 Å; angles 60.00, 60.00, 60.00 degrees
Each line ends with the local moment (μB).
Sites, in units of the cell vectors:
I1 0.250 0.250 0.250  -0.12
I2 0.750 0.750 0.750  -0.12
H1 0.000 0.000 0.000  0.26
Tl1 0.500 0.500 0.500  -0.07

=====

DFT (PBEsol) results for crystalline TlHgPt at its relaxed geometry.

Properties
V (Å³/cell): 67.89
Formation energy (meV/atom): 387

Cell lengths 4.579, 4.579, 4.579 Å; angles 60.00, 60.00, 60.00 degrees
Sites, in units of the cell vectors:
Pt1 0.500 0.500 0.500
Tl1 0.250 0.250 0.250
Hg1 0.000 0.000 0.000

=====

DFT (PBEsol) results for crystalline Sc2PbSe4 at its relaxed geometry.

Properties
V (Å³/cell): 665.67
E_form (uncorrected) (kJ/mol of atoms): -132.2

Cell lengths 3.871, 12.147, 14.157 Å; angles 90.00, 90.00, 90.00 degrees
Sites, in units of the cell vectors:
Sc1 0.250 0.447 0.389
Se1 0.250 0.625 0.966
Sc2 0.750 0.553 0.611
Se2 0.250 0.702 0.656
Sc3 0.250 0.947 0.111
Sc4 0.250 0.916 0.592
Se3 0.250 0.035 0.285
Sc5 0.250 0.416 0.908
Se4 0.250 0.907 0.927
Pb1 0.250 0.257 0.178
Se5 0.750 0.093 0.073
Se6 0.750 0.965 0.715
Se7 0.750 0.593 0.427
Se8 0.750 0.798 0.156
Sc6 0.750 0.084 0.408
Se9 0.250 0.407 0.573
Se10 0.250 0.202 0.844
Se11 0.750 0.875 0.466
Se12 0.250 0.125 0.534
Sc7 0.750 0.053 0.889
Sc8 0.750 0.584 0.092
Se13 0.750 0.298 0.344
Pb2 0.750 0.743 0.822
Se14 0.750 0.375 0.034
Pb3 0.250 0.757 0.322
Pb4 0.750 0.243 0.678
Se15 0.250 0.535 0.215
Se16 0.750 0.465 0.785

=====

DFT (PBEsol) results for crystalline LiMnPO4 at its relaxed geometry.

Properties
V (Å³/cell): 357.09
Relative energy among the computed polymorphs (meV/atom): 88
E_form (uncorrected) (kJ/mol of atoms): -191.5

Cell lengths 7.095, 7.095, 7.095 Å; angles 90.00, 90.00, 90.00 degrees
Each line ends with the local moment (μB).
Sites, in units of the cell vectors:
O1 0.977 0.600 0.680  0.05
O2 0.151 0.151 0.151  0.02
Li1 0.298 0.298 0.298  0.00
O3 0.349 0.849 0.651  0.02
O4 0.400 0.180 0.523  0.05
O5 0.680 0.977 0.600  0.05
O6 0.849 0.651 0.349  0.02
Mn1 0.268 0.732 0.232  4.45
O7 0.100 0.820 0.023  0.05
O8 0.820 0.023 0.100  0.05
Mn2 0.768 0.768 0.768  4.45
Li2 0.798 0.202 0.702  0.00
O9 0.651 0.349 0.849  0.02
O10 0.180 0.523 0.400  0.05
O11 0.023 0.100 0.820  0.05
O12 0.477 0.900 0.320  0.05
O13 0.523 0.400 0.180  0.05
Li3 0.702 0.798 0.202  0.00
Mn3 0.232 0.268 0.732  4.45
P1 0.029 0.029 0.029  0.01
O14 0.900 0.320 0.477  0.05
O15 0.600 0.680 0.977  0.05
P2 0.971 0.529 0.471  0.01
P3 0.529 0.471 0.971  0.01
Mn4 0.732 0.232 0.268  4.45
P4 0.471 0.971 0.529  0.01
O16 0.320 0.477 0.900  0.05
Li4 0.202 0.702 0.798  0.00

=====

DFT (PBEsol) results for crystalline CaTl2Cd at its relaxed geometry.

Properties
V (Å³/cell): 105.40
Relative energy among the computed polymorphs (meV/atom): 67
Formation energy (meV/atom): -204

Cell lengths 3.809, 3.809, 7.265 Å; angles 90.00, 90.00, 90.00 degrees
Sites, in units of the cell vectors:
Tl1 0.500 0.500 0.243
Tl2 0.000 0.000 0.986
Ca1 0.000 0.000 0.507
Cd1 0.500 0.500 0.764

=====

Number 1: total moment 0.0000 μB per atom. Number 2: total moment 1.3580 μB per atom. Number 3: total moment 0.8029 μB per atom. Number 4: total moment 0.0000 μB per atom. Number 5: total moment 0.7845 μB per atom. Number 6: total moment 0.0475 μB per atom. Number 7: total moment 0.0000 μB per atom. Number 8: total moment 0.0000 μB per atom. Number 9: total moment 0.7143 μB per atom. Number 10: total moment 0.0000 μB per atom.